A geometry-optimized Li2Mn2SnO6 structure, computed with PBEsol.

Output
V = 11.2 A^3/atom
Uncorrected energy = -156.2 eV/cell
Formation energy without anion corrections = -1716 meV per atom

abc: 5.197 5.197 10.124
angles: 90.00 90.00 115.91
Atoms (fractional coordinates):
O  0.805  0.441  0.113
Li  0.396  0.896  0.750
Mn  0.163  0.837  0.000
Mn  0.663  0.337  0.500
O  0.659  0.659  0.408
Li  0.604  0.104  0.250
O  0.841  0.841  0.908
O  0.159  0.159  0.092
O  0.695  0.059  0.613
Li  0.896  0.396  0.750
O  0.195  0.559  0.887
O  0.941  0.305  0.387
O  0.305  0.941  0.387
O  0.059  0.695  0.613
Mn  0.837  0.163  0.000
O  0.341  0.341  0.592
Sn  0.000  0.000  0.500
Sn  0.500  0.500  0.000
Mn  0.337  0.663  0.500
O  0.559  0.195  0.887
Li  0.104  0.604  0.250
O  0.441  0.805  0.113

=====

A geometry-optimized Li2Mn3SnO8 structure, computed with PBEsol.

Output
V = 10.0 A^3/atom
Uncorrected energy = -417.6 eV/cell
D(E_F) = 0.277 states/eV per atom
Formation energy without anion corrections = -1780 meV per atom

abc: 8.254 8.256 8.257
angles: 90.00 90.00 90.00
Atoms (fractional coordinates):
Li  0.496  0.004  0.496
Mn  0.625  0.891  0.859
O  0.142  0.377  0.654
O  0.873  0.108  0.596
O  0.629  0.871  0.629
O  0.127  0.608  0.904
Mn  0.141  0.375  0.891
Sn  0.125  0.125  0.625
O  0.404  0.127  0.108
Li  0.996  0.496  0.504
Mn  0.609  0.641  0.625
O  0.596  0.627  0.392
O  0.377  0.154  0.642
O  0.371  0.371  0.871
O  0.627  0.892  0.096
O  0.123  0.846  0.142
Li  0.004  0.996  0.996
O  0.642  0.123  0.346
O  0.392  0.904  0.873
Mn  0.391  0.141  0.875
O  0.892  0.596  0.127
Mn  0.125  0.609  0.141
Li  0.504  0.504  0.004
Mn  0.859  0.875  0.609
Li  0.246  0.754  0.754
O  0.346  0.858  0.377
O  0.096  0.873  0.608
O  0.654  0.358  0.123
O  0.846  0.642  0.623
Li  0.754  0.254  0.746
O  0.877  0.346  0.358
O  0.879  0.879  0.379
Li  0.746  0.746  0.246
Mn  0.109  0.859  0.375
O  0.154  0.142  0.877
Mn  0.875  0.109  0.359
Sn  0.625  0.375  0.375
O  0.904  0.373  0.892
Sn  0.875  0.625  0.875
O  0.108  0.096  0.373
O  0.621  0.121  0.879
O  0.373  0.392  0.404
O  0.358  0.623  0.154
Li  0.254  0.246  0.254
O  0.871  0.129  0.129
O  0.379  0.621  0.621
Sn  0.375  0.875  0.125
Mn  0.375  0.391  0.641
O  0.608  0.404  0.627
O  0.121  0.379  0.121
O  0.129  0.629  0.371
Mn  0.891  0.359  0.125
O  0.858  0.877  0.846
Mn  0.359  0.625  0.391
O  0.623  0.654  0.858
Mn  0.641  0.125  0.109

=====

Question: Which of these has the highest formation energy without anion corrections?
Answer: Li2Mn2SnO6